# 1
VASP calculation (PBE) on crystalline Na3Pm2NpO6 at its relaxed geometry.

Unit cell a=6.1161 b=6.1161 c=6.0198 alpha=99.76 beta=99.76 gamma=120.00
Atoms (fractional coordinates):
Na 0.0000 0.0000 0.0000
Na 0.3354 0.6646 0.0000
Na 0.6646 0.3354 0.0000
Pm 0.1668 0.8332 0.5000
Pm 0.8332 0.1668 0.5000
Np 0.5000 0.5000 0.5000
O 0.1004 0.4272 0.2822
O 0.2455 0.2455 0.7166
O 0.4272 0.1004 0.2822
O 0.5728 0.8996 0.7178
O 0.7545 0.7545 0.2834
O 0.8996 0.5728 0.7178

DOS(E_F): 9.1 states/eV/f.u.
Total magnetic moment: 4.00 μB/f.u.
DFT total energy: -86.1 eV per formula unit
SG: No. 12

# 2
VASP calculation (PBE) on crystalline YMgTlNi at its relaxed geometry.

Unit cell a=4.9210 b=4.9210 c=4.9210 alpha=60.00 beta=60.00 gamma=60.00
Atoms (fractional coordinates):
Y 0.0000 0.0000 0.0000
Mg 0.5000 0.5000 0.5000
Tl 0.2500 0.2500 0.2500
Ni 0.7500 0.7500 0.7500

DOS(E_F): 1.8 states/eV/f.u.
ΔE_f: -0.71 eV/f.u.
Total magnetic moment: 0.00 μB/f.u.
SG: No. 216

# 3
VASP calculation (PBE) on crystalline AcBRhC at its relaxed geometry.

Unit cell a=3.9718 b=3.9718 c=8.1166 alpha=90.00 beta=90.00 gamma=90.00
Atoms (fractional coordinates):
Ac 0.2500 0.2500 0.1775
Ac 0.7500 0.7500 0.8225
B 0.2500 0.2500 0.6444
B 0.7500 0.7500 0.3556
Rh 0.2500 0.7500 0.5000
Rh 0.7500 0.2500 0.5000
C 0.2500 0.2500 0.8298
C 0.7500 0.7500 0.1702

DOS(E_F): 2.8 states/eV/f.u.
ΔE_f: -1.16 eV/f.u.
Total magnetic moment: 0.00 μB/f.u.
SG: No. 129

# 4
VASP calculation (PBE) on crystalline BaSr2AcPt at its relaxed geometry.

Unit cell a=6.1773 b=6.1773 c=5.9501 alpha=90.00 beta=90.00 gamma=90.00
Atoms (fractional coordinates):
Ba 0.0000 0.0000 0.0000
Sr 0.0000 0.5000 0.5000
Sr 0.5000 0.0000 0.5000
Ac 0.5000 0.5000 0.0000
Pt 0.5000 0.5000 0.5000

DOS(E_F): 3.5 states/eV/f.u.
ΔE_f: -2.25 eV/f.u.
Total magnetic moment: 0.00 μB/f.u.
SG: No. 123

# 5
VASP calculation (PBE) on crystalline Ce2Sm3Sb3 at its relaxed geometry.

Unit cell a=9.2867 b=9.2867 c=6.3299 alpha=90.00 beta=90.00 gamma=120.00
Atoms (fractional coordinates):
Ce 0.3333 0.6667 0.0000
Ce 0.3333 0.6667 0.5000
Ce 0.6667 0.3333 0.0000
Ce 0.6667 0.3333 0.5000
Sm 0.0000 0.2542 0.2500
Sm 0.0000 0.7458 0.7500
Sm 0.2542 0.0000 0.2500
Sm 0.2542 0.2542 0.7500
Sm 0.7458 0.0000 0.7500
Sm 0.7458 0.7458 0.2500
Sb 0.0000 0.3832 0.7500
Sb 0.0000 0.6168 0.2500
Sb 0.3832 0.0000 0.7500
Sb 0.3832 0.3832 0.2500
Sb 0.6168 0.0000 0.2500
Sb 0.6168 0.6168 0.7500

DOS(E_F): 15.3 states/eV/f.u.
Total magnetic moment: 2.30 μB/f.u.
DFT total energy: -45.7 eV per formula unit
SG: No. 193

# 6
VASP calculation (PBE) on crystalline LaHg3Mo at its relaxed geometry.

Unit cell a=5.2350 b=5.2350 c=5.2350 alpha=90.00 beta=90.00 gamma=90.00
Atoms (fractional coordinates):
La 0.0000 0.0000 0.0000
Hg 0.0000 0.5000 0.5000
Hg 0.5000 0.0000 0.5000
Hg 0.5000 0.5000 0.0000
Mo 0.5000 0.5000 0.5000

DOS(E_F): 6.1 states/eV/f.u.
ΔE_f: 1.88 eV/f.u.
Total magnetic moment: 0.00 μB/f.u.
Distance to the lowest polymorph of the same formula: 0.000 eV per formula unit
SG: No. 221

# 7
VASP calculation (PBE) on crystalline Pa3Al2Ga4 at its relaxed geometry.

Unit cell a=5.6623 b=5.6623 c=8.6230 alpha=115.30 beta=115.30 gamma=47.68
Atoms (fractional coordinates):
Pa 0.0000 0.0000 0.0000
Pa 0.3370 0.3370 0.3324
Pa 0.6630 0.6630 0.6676
Al 0.3852 0.3852 0.7198
Al 0.6148 0.6148 0.2802
Ga 0.0636 0.0636 0.3930
Ga 0.2808 0.2808 0.9461
Ga 0.7192 0.7192 0.0539
Ga 0.9364 0.9364 0.6070

DOS(E_F): 11.8 states/eV/f.u.
ΔE_f: -2.75 eV/f.u.
Total magnetic moment: 0.00 μB/f.u.
SG: No. 12

# 8
VASP calculation (PBE) on crystalline Na8GaHg2 at its relaxed geometry.

Unit cell a=5.2825 b=7.6306 c=9.3280 alpha=114.14 beta=106.22 gamma=90.00
Atoms (fractional coordinates):
Na 0.0000 0.0000 0.0000
Na 0.0423 0.5565 0.0848
Na 0.2005 0.0681 0.4028
Na 0.3609 0.8755 0.7205
Na 0.4035 0.4030 0.8055
Na 0.5956 0.2812 0.1917
Na 0.7013 0.7551 0.4029
Na 0.8081 0.4932 0.6146
Ga 0.2023 0.4824 0.4031
Hg 0.5406 0.8272 0.0839
Hg 0.8623 0.1463 0.7217

DOS(E_F): 3.5 states/eV/f.u.
ΔE_f: -1.02 eV/f.u.
Total magnetic moment: 0.00 μB/f.u.
Distance to the lowest polymorph of the same formula: 0.037 eV per formula unit
SG: No. 1

# 9
VASP calculation (PBE) on crystalline UPaMnTc at its relaxed geometry.

Unit cell a=4.6488 b=4.6488 c=4.6488 alpha=60.00 beta=60.00 gamma=60.00
Atoms (fractional coordinates):
U 0.0000 0.0000 0.0000
Pa 0.7500 0.7500 0.7500
Mn 0.2500 0.2500 0.2500
Tc 0.5000 0.5000 0.5000

DOS(E_F): 5.3 states/eV/f.u.
ΔE_f: 0.00 eV/f.u.
Total magnetic moment: 2.72 μB/f.u.
SG: No. 216

# 10
VASP calculation (PBE) on crystalline CsLiTl2Br8 at its relaxed geometry.

Unit cell a=11.5123 b=11.5123 c=11.5123 alpha=35.37 beta=35.37 gamma=35.37
Atoms (fractional coordinates):
Cs 0.0000 0.0000 0.0000
Li 0.5000 0.5000 0.5000
Tl 0.2477 0.2477 0.2477
Tl 0.7523 0.7523 0.7523
Br 0.1406 0.4169 0.7659
Br 0.2341 0.5831 0.8594
Br 0.3289 0.3289 0.3289
Br 0.4169 0.7659 0.1406
Br 0.5831 0.8594 0.2341
Br 0.6711 0.6711 0.6711
Br 0.7659 0.1406 0.4169
Br 0.8594 0.2341 0.5831

DOS(E_F): 0.0 states/eV/f.u.
Total magnetic moment: 0.00 μB/f.u.
DFT total energy: -31.3 eV per formula unit
SG: No. 155

# 11
VASP calculation (PBE) on crystalline AsIrPdO2 at its relaxed geometry.

Unit cell a=3.7268 b=3.7268 c=5.0731 alpha=90.00 beta=90.00 gamma=90.00
Atoms (fractional coordinates):
As 0.0000 0.0000 0.0000
Ir 0.0000 0.0000 0.5000
Pd 0.5000 0.5000 0.5000
O 0.0000 0.5000 0.0000
O 0.5000 0.0000 0.0000

DOS(E_F): 5.4 states/eV/f.u.
Total magnetic moment: 0.81 μB/f.u.
DFT total energy: -27.0 eV per formula unit
SG: No. 123

# 12
VASP calculation (PBE) on crystalline BiPd14Pt at its relaxed geometry.

Unit cell a=9.2609 b=5.6285 c=5.6285 alpha=60.60 beta=90.00 gamma=90.00
Atoms (fractional coordinates):
Bi 0.0000 0.0000 0.0000
Pd 0.0000 0.0003 0.5007
Pd 0.0000 0.5007 0.0003
Pd 0.2509 0.3333 0.3333
Pd 0.2537 0.3364 0.8310
Pd 0.2537 0.8310 0.3364
Pd 0.2549 0.8322 0.8322
Pd 0.5000 0.1651 0.1651
Pd 0.5000 0.1651 0.6635
Pd 0.5000 0.6635 0.1651
Pd 0.5000 0.6643 0.6643
Pd 0.7451 0.8322 0.8322
Pd 0.7463 0.3364 0.8310
Pd 0.7463 0.8310 0.3364
Pd 0.7491 0.3333 0.3333
Pt 0.0000 0.5000 0.5000

DOS(E_F): 33.4 states/eV/f.u.
ΔE_f: -0.75 eV/f.u.
Total magnetic moment: 0.00 μB/f.u.
SG: No. 38

# 13
VASP calculation (PBE) on crystalline Tm3ZrSe6 at its relaxed geometry.

Unit cell a=8.2112 b=8.2112 c=8.2112 alpha=91.02 beta=91.02 gamma=91.02
Atoms (fractional coordinates):
Tm 0.0765 0.5851 0.7454
Tm 0.2546 0.9235 0.4149
Tm 0.4149 0.2546 0.9235
Tm 0.5851 0.7454 0.0765
Tm 0.7454 0.0765 0.5851
Tm 0.9235 0.4149 0.2546
Zr 0.0000 0.0000 0.0000
Zr 0.5000 0.5000 0.5000
Se 0.0428 0.9142 0.6840
Se 0.0858 0.3160 0.9572
Se 0.1879 0.5819 0.4115
Se 0.3160 0.9572 0.0858
Se 0.4115 0.1879 0.5819
Se 0.4181 0.5885 0.8121
Se 0.5819 0.4115 0.1879
Se 0.5885 0.8121 0.4181
Se 0.6840 0.0428 0.9142
Se 0.8121 0.4181 0.5885
Se 0.9142 0.6840 0.0428
Se 0.9572 0.0858 0.3160

DOS(E_F): 4.9 states/eV/f.u.
Total magnetic moment: 1.04 μB/f.u.
DFT total energy: -59.1 eV per formula unit
SG: No. 148

# 14
VASP calculation (PBE) on crystalline Ba6Bi4O at its relaxed geometry.

Unit cell a=9.3364 b=9.3364 c=10.2285 alpha=90.00 beta=90.00 gamma=90.00
Atoms (fractional coordinates):
Ba 0.0000 0.0000 0.2427
Ba 0.0000 0.0000 0.7573
Ba 0.1360 0.3092 0.0000
Ba 0.1908 0.3640 0.5000
Ba 0.3092 0.8640 0.0000
Ba 0.3640 0.8092 0.5000
Ba 0.5000 0.5000 0.2573
Ba 0.5000 0.5000 0.7427
Ba 0.6360 0.1908 0.5000
Ba 0.6908 0.1360 0.0000
Ba 0.8092 0.6360 0.5000
Ba 0.8640 0.6908 0.0000
Bi 0.1337 0.6337 0.2500
Bi 0.1337 0.6337 0.7500
Bi 0.3663 0.1337 0.2500
Bi 0.3663 0.1337 0.7500
Bi 0.6337 0.8663 0.2500
Bi 0.6337 0.8663 0.7500
Bi 0.8663 0.3663 0.2500
Bi 0.8663 0.3663 0.7500
O 0.0000 0.0000 0.0000
O 0.5000 0.5000 0.5000

DOS(E_F): 8.7 states/eV/f.u.
Total magnetic moment: 0.01 μB/f.u.
DFT total energy: -44.5 eV per formula unit
SG: No. 128

# 15
VASP calculation (PBE) on crystalline Pm2Nd2SmDy2 at its relaxed geometry.

Unit cell a=6.2744 b=6.2744 c=8.1159 alpha=97.37 beta=97.37 gamma=48.21
Atoms (fractional coordinates):
Pm 0.1434 0.1434 0.4285
Pm 0.8566 0.8566 0.5715
Nd 0.4285 0.4285 0.2829
Nd 0.5715 0.5715 0.7171
Sm 0.0000 0.0000 0.0000
Dy 0.2854 0.2854 0.8586
Dy 0.7146 0.7146 0.1414

DOS(E_F): 9.7 states/eV/f.u.
ΔE_f: 0.10 eV/f.u.
Total magnetic moment: 0.00 μB/f.u.
SG: No. 12

# 16
VASP calculation (PBE) on crystalline Si3TcP at its relaxed geometry.

Unit cell a=4.6560 b=4.6560 c=4.6560 alpha=90.00 beta=90.00 gamma=90.00
Atoms (fractional coordinates):
Si 0.0000 0.0000 0.5000
Si 0.0000 0.5000 0.0000
Si 0.5000 0.0000 0.0000
Tc 0.0000 0.0000 0.0000
P 0.5000 0.5000 0.5000

DOS(E_F): 4.6 states/eV/f.u.
Total magnetic moment: 1.66 μB/f.u.
Distance to the lowest polymorph of the same formula: 0.000 eV per formula unit
SG: No. 221

# 17
VASP calculation (PBE) on crystalline OsSCl at its relaxed geometry.

Unit cell a=3.0926 b=5.8011 c=7.6448 alpha=68.26 beta=82.63 gamma=89.98
Atoms (fractional coordinates):
Os 0.0000 0.0000 0.0000
Os 0.4774 0.3775 0.0715
S 0.0366 0.6755 0.8841
S 0.5600 0.2573 0.8104
Cl 0.3785 0.1006 0.3821
Cl 0.4216 0.6724 0.2464

DOS(E_F): 1.6 states/eV/f.u.
Total magnetic moment: 0.00 μB/f.u.
DFT total energy: -17.4 eV per formula unit
SG: No. 1

# 18
VASP calculation (PBE) on crystalline CrBiSbTe2 at its relaxed geometry.

Unit cell a=5.1077 b=5.1077 c=5.1676 alpha=90.00 beta=90.00 gamma=90.00
Atoms (fractional coordinates):
Cr 0.0000 0.0000 0.0000
Bi 0.5000 0.5000 0.5000
Sb 0.0000 0.0000 0.5000
Te 0.0000 0.5000 0.0000
Te 0.5000 0.0000 0.0000

DOS(E_F): 6.1 states/eV/f.u.
Total magnetic moment: 0.00 μB/f.u.
Distance to the lowest polymorph of the same formula: 0.000 eV per formula unit
SG: No. 123

# 19
VASP calculation (PBE) on crystalline Rb3CePu2Se6 at its relaxed geometry.

Unit cell a=7.5301 b=7.5301 c=8.3545 alpha=98.64 beta=98.64 gamma=120.00
Atoms (fractional coordinates):
Rb 0.0000 0.0000 0.0000
Rb 0.3334 0.6666 0.0000
Rb 0.6666 0.3334 0.0000
Ce 0.5000 0.5000 0.5000
Pu 0.1667 0.8333 0.5000
Pu 0.8333 0.1667 0.5000
Se 0.0999 0.4347 0.3042
Se 0.2304 0.2304 0.6957
Se 0.4347 0.0999 0.3042
Se 0.5653 0.9001 0.6958
Se 0.7696 0.7696 0.3043
Se 0.9001 0.5653 0.6958

DOS(E_F): 30.9 states/eV/f.u.
Total magnetic moment: 11.00 μB/f.u.
DFT total energy: -76.7 eV per formula unit
SG: No. 12

# 20
VASP calculation (PBE) on crystalline Sr7Ag2Sn2 at its relaxed geometry.

Unit cell a=7.5858 b=7.5858 c=8.0773 alpha=90.00 beta=90.00 gamma=109.45
Atoms (fractional coordinates):
Sr 0.0000 0.0000 0.0000
Sr 0.0000 0.5000 0.2706
Sr 0.0000 0.5000 0.7294
Sr 0.5000 0.0000 0.2706
Sr 0.5000 0.0000 0.7294
Sr 0.5000 0.5000 0.2537
Sr 0.5000 0.5000 0.7463
Ag 0.2931 0.7069 0.0000
Ag 0.7069 0.2931 0.0000
Sn 0.1705 0.1705 0.5000
Sn 0.8295 0.8295 0.5000

DOS(E_F): 8.0 states/eV/f.u.
ΔE_f: -2.64 eV/f.u.
Total magnetic moment: 0.00 μB/f.u.
SG: No. 65